Computed, not measured: a relaxed NaMg2Ta crystal at the PBE level of DFT.

Structure (POSCAR):
```
NaMg2Ta
1.0
0.000 3.515 3.515
3.515 0.000 3.515
3.515 3.515 0.000
Na Mg Ta
1 2 1
Direct
0.000 0.000 0.000
0.250 0.250 0.250
0.750 0.750 0.750
0.500 0.500 0.500
```

Summary:
Total energy, hartree per atom: -0.123
Formation energy from the elements, kJ per mole of atoms: 72
V, Å³ per cell: 86.8